{
  "formula": "Li4Sm3ScTe8",
  "functional": "GGA-PBE",
  "state": "relaxed",
  "lattice": [[4.3569, 2.5155, 7.0568], [-4.3569, 2.5155, 7.0568], [0.0000, -5.0309, 7.0568]],
  "species": ["Li", "Li", "Li", "Li", "Sm", "Sm", "Sm", "Sc", "Te", "Te", "Te", "Te", "Te", "Te", "Te", "Te"],
  "frac_coords": [[0.0000, 0.0000, 0.0000], [0.0000, 0.5000, 0.5000], [0.5000, 0.0000, 0.5000], [0.5000, 0.5000, 0.0000], [0.0000, 0.0000, 0.5000], [0.0000, 0.5000, 0.0000], [0.5000, 0.0000, 0.0000], [0.5000, 0.5000, 0.5000], [0.2542, 0.2542, 0.2542], [0.2562, 0.2562, 0.7343], [0.2562, 0.7343, 0.2562], [0.2657, 0.7438, 0.7438], [0.7343, 0.2562, 0.2562], [0.7438, 0.2657, 0.7438], [0.7438, 0.7438, 0.2657], [0.7458, 0.7458, 0.7458]],
  "magnetic_moment_mub_per_cell": 0.000,
  "e_tot_ev_per_atom": -4.589,
  "e_form_raw_ev_per_fu": -20.14
}



{
  "formula": "LiSm3Sc2Te6",
  "functional": "GGA-PBE",
  "state": "relaxed",
  "lattice": [[9.4101, -2.1537, 0.0000], [9.4101, 2.1537, 0.0000], [-2.0155, 0.0000, 8.4028]],
  "species": ["Li", "Sm", "Sm", "Sm", "Sc", "Sc", "Te", "Te", "Te", "Te", "Te", "Te"],
  "frac_coords": [[0.0000, 0.0000, 0.0000], [0.0000, 0.0000, 0.5000], [0.3358, 0.3358, 0.1713], [0.6642, 0.6642, 0.8287], [0.3336, 0.3336, 0.6597], [0.6664, 0.6664, 0.3403], [0.1629, 0.1629, 0.0960], [0.1713, 0.1713, 0.5732], [0.4940, 0.4940, 0.7632], [0.5060, 0.5060, 0.2368], [0.8287, 0.8287, 0.4268], [0.8371, 0.8371, 0.9040]],
  "magnetic_moment_mub_per_cell": 0.000,
  "e_tot_ev_per_atom": -5.240,
  "e_form_raw_ev_per_fu": -15.30,
  "n_ef_per_ev_cell": 5.20
}



{
  "formula": "LiSmSc2Te4",
  "functional": "GGA-PBE",
  "state": "relaxed",
  "lattice": [[7.3576, 0.0000, 0.0000], [0.0000, 4.2283, 0.0000], [-2.4157, 0.0000, 7.0317]],
  "species": ["Li", "Sm", "Sc", "Sc", "Te", "Te", "Te", "Te"],
  "frac_coords": [[0.0000, 0.0000, 0.0000], [0.5000, 0.5000, 0.0000], [0.0000, 0.5000, 0.5000], [0.5000, 0.0000, 0.5000], [0.2354, 0.0000, 0.7362], [0.2453, 0.5000, 0.2595], [0.7547, 0.5000, 0.7405], [0.7646, 0.0000, 0.2638]],
  "magnetic_moment_mub_per_cell": 0.000,
  "e_tot_ev_per_atom": -5.205,
  "e_form_raw_ev_per_fu": -9.77,
  "n_ef_per_ev_cell": 4.01
}



{
  "formula": "LiSm3Sc3Te8",
  "functional": "GGA-PBE",
  "state": "relaxed",
  "lattice": [[4.2753, 2.4683, 7.0240], [-4.2753, 2.4683, 7.0240], [0.0000, -4.9367, 7.0240]],
  "species": ["Li", "Sm", "Sm", "Sm", "Sc", "Sc", "Sc", "Te", "Te", "Te", "Te", "Te", "Te", "Te", "Te"],
  "frac_coords": [[0.0000, 0.0000, 0.0000], [0.0000, 0.0000, 0.5000], [0.0000, 0.5000, 0.0000], [0.5000, 0.0000, 0.0000], [0.0000, 0.5000, 0.5000], [0.5000, 0.0000, 0.5000], [0.5000, 0.5000, 0.0000], [0.2500, 0.2500, 0.7360], [0.2500, 0.7360, 0.2500], [0.2570, 0.2570, 0.2570], [0.2640, 0.7500, 0.7500], [0.7360, 0.2500, 0.2500], [0.7430, 0.7430, 0.7430], [0.7500, 0.2640, 0.7500], [0.7500, 0.7500, 0.2640]],
  "magnetic_moment_mub_per_cell": 0.000,
  "e_tot_ev_per_atom": -5.271,
  "e_form_raw_ev_per_fu": -18.87,
  "n_ef_per_ev_cell": 4.89
}



{
  "formula": "LiSmScTe3",
  "functional": "GGA-PBE",
  "state": "relaxed",
  "lattice": [[8.5927, 0.0000, 0.0000], [0.0000, 4.2050, 0.0000], [-2.3713, 0.0000, 9.1403]],
  "species": ["Li", "Li", "Sm", "Sm", "Sc", "Sc", "Te", "Te", "Te", "Te", "Te", "Te"],
  "frac_coords": [[0.0882, 0.2500, 0.0894], [0.9118, 0.7500, 0.9106], [0.1929, 0.2500, 0.7397], [0.8071, 0.7500, 0.2603], [0.3319, 0.7500, 0.3391], [0.6681, 0.2500, 0.6609], [0.0970, 0.2500, 0.3780], [0.2465, 0.7500, 0.0076], [0.4331, 0.7500, 0.6631], [0.5669, 0.2500, 0.3369], [0.7535, 0.2500, 0.9924], [0.9030, 0.7500, 0.6220]],
  "magnetic_moment_mub_per_cell": 0.006,
  "e_tot_ev_per_atom": -4.933,
  "e_form_raw_ev_per_fu": -7.21,
  "n_ef_per_ev_cell": 6.72
}



{
  "formula": "LiSmThSc",
  "functional": "GGA-PBE",
  "state": "relaxed",
  "lattice": [[7.6085, 0.0000, 0.0000], [0.0000, 7.6085, 0.0000], [0.0000, 0.0000, 7.6085]],
  "species": ["Li", "Li", "Li", "Li", "Sm", "Sm", "Sm", "Sm", "Th", "Th", "Th", "Th", "Sc", "Sc", "Sc", "Sc"],
  "frac_coords": [[0.0000, 0.0000, 0.0000], [0.0000, 0.5000, 0.5000], [0.5000, 0.0000, 0.5000], [0.5000, 0.5000, 0.0000], [0.2500, 0.2500, 0.2500], [0.2500, 0.7500, 0.7500], [0.7500, 0.2500, 0.7500], [0.7500, 0.7500, 0.2500], [0.2500, 0.2500, 0.7500], [0.2500, 0.7500, 0.2500], [0.7500, 0.2500, 0.2500], [0.7500, 0.7500, 0.7500], [0.0000, 0.0000, 0.5000], [0.0000, 0.5000, 0.0000], [0.5000, 0.0000, 0.0000], [0.5000, 0.5000, 0.5000]],
  "magnetic_moment_mub_per_cell": 0.002,
  "e_tot_ev_per_atom": -4.906,
  "n_ef_per_ev_cell": 20.26,
  "ef_kj_per_mol_fu": 73
}



{
  "formula": "Li2SmScTl4",
  "functional": "GGA-PBE",
  "state": "relaxed",
  "lattice": [[2.5593, 1.4776, 8.4453], [-2.5593, 1.4776, 8.4453], [0.0000, -2.9552, 8.4453]],
  "species": ["Li", "Li", "Sm", "Sc", "Tl", "Tl", "Tl", "Tl"],
  "frac_coords": [[0.2486, 0.2486, 0.2486], [0.7514, 0.7514, 0.7514], [0.0000, 0.0000, 0.0000], [0.5000, 0.5000, 0.5000], [0.1284, 0.1284, 0.1284], [0.3803, 0.3803, 0.3803], [0.6197, 0.6197, 0.6197], [0.8716, 0.8716, 0.8716]],
  "magnetic_moment_mub_per_cell": 0.000,
  "e_tot_ev_per_atom": -3.331,
  "n_ef_per_ev_cell": 2.20,
  "ef_kj_per_mol_fu": -222
}



{
  "formula": "Li2SmSc2Tl2",
  "functional": "GGA-PBE",
  "state": "relaxed",
  "lattice": [[2.3710, 1.3689, 8.5763], [-2.3710, 1.3689, 8.5763], [0.0000, -2.7378, 8.5763]],
  "species": ["Li", "Li", "Sm", "Sc", "Sc", "Tl", "Tl"],
  "frac_coords": [[0.0812, 0.0812, 0.0812], [0.9188, 0.9188, 0.9188], [0.5000, 0.5000, 0.5000], [0.3676, 0.3676, 0.3676], [0.6324, 0.6324, 0.6324], [0.2449, 0.2449, 0.2449], [0.7551, 0.7551, 0.7551]],
  "magnetic_moment_mub_per_cell": 0.000,
  "e_tot_ev_per_atom": -3.878,
  "n_ef_per_ev_cell": 6.00,
  "ef_kj_per_mol_fu": -116
}



{
  "formula": "LiSmTmSc",
  "functional": "GGA-PBE",
  "state": "relaxed",
  "lattice": [[7.5612, 0.0000, 0.0000], [0.0000, 7.5612, 0.0000], [0.0000, 0.0000, 7.5612]],
  "species": ["Li", "Li", "Li", "Li", "Sm", "Sm", "Sm", "Sm", "Tm", "Tm", "Tm", "Tm", "Sc", "Sc", "Sc", "Sc"],
  "frac_coords": [[0.0000, 0.0000, 0.0000], [0.0000, 0.5000, 0.5000], [0.5000, 0.0000, 0.5000], [0.5000, 0.5000, 0.0000], [0.2500, 0.2500, 0.7500], [0.2500, 0.7500, 0.2500], [0.7500, 0.2500, 0.2500], [0.7500, 0.7500, 0.7500], [0.2500, 0.2500, 0.2500], [0.2500, 0.7500, 0.7500], [0.7500, 0.2500, 0.7500], [0.7500, 0.7500, 0.2500], [0.0000, 0.0000, 0.5000], [0.0000, 0.5000, 0.0000], [0.5000, 0.0000, 0.0000], [0.5000, 0.5000, 0.5000]],
  "magnetic_moment_mub_per_cell": 0.000,
  "e_tot_ev_per_atom": -4.205,
  "n_ef_per_ev_cell": 16.02,
  "ef_kj_per_mol_fu": 59
}



{
  "formula": "LiSmYSc",
  "functional": "GGA-PBE",
  "state": "relaxed",
  "lattice": [[7.6169, 0.0000, 0.0000], [0.0000, 7.6169, 0.0000], [0.0000, 0.0000, 7.6169]],
  "species": ["Li", "Li", "Li", "Li", "Sm", "Sm", "Sm", "Sm", "Y", "Y", "Y", "Y", "Sc", "Sc", "Sc", "Sc"],
  "frac_coords": [[0.0000, 0.0000, 0.0000], [0.0000, 0.5000, 0.5000], [0.5000, 0.0000, 0.5000], [0.5000, 0.5000, 0.0000], [0.2500, 0.2500, 0.7500], [0.2500, 0.7500, 0.2500], [0.7500, 0.2500, 0.2500], [0.7500, 0.7500, 0.7500], [0.2500, 0.2500, 0.2500], [0.2500, 0.7500, 0.7500], [0.7500, 0.2500, 0.7500], [0.7500, 0.7500, 0.2500], [0.0000, 0.0000, 0.5000], [0.0000, 0.5000, 0.0000], [0.5000, 0.0000, 0.0000], [0.5000, 0.5000, 0.5000]],
  "magnetic_moment_mub_per_cell": 0.000,
  "e_tot_ev_per_atom": -4.711,
  "n_ef_per_ev_cell": 16.59,
  "ef_kj_per_mol_fu": 56
}



{
  "formula": "LiSmScZn",
  "functional": "GGA-PBE",
  "state": "relaxed",
  "lattice": [[7.0847, 0.0000, 0.0000], [0.0000, 7.0847, 0.0000], [0.0000, 0.0000, 7.0847]],
  "species": ["Li", "Li", "Li", "Li", "Sm", "Sm", "Sm", "Sm", "Sc", "Sc", "Sc", "Sc", "Zn", "Zn", "Zn", "Zn"],
  "frac_coords": [[0.0000, 0.0000, 0.0000], [0.0000, 0.5000, 0.5000], [0.5000, 0.0000, 0.5000], [0.5000, 0.5000, 0.0000], [0.2500, 0.2500, 0.2500], [0.2500, 0.7500, 0.7500], [0.7500, 0.2500, 0.7500], [0.7500, 0.7500, 0.2500], [0.2500, 0.2500, 0.7500], [0.2500, 0.7500, 0.2500], [0.7500, 0.2500, 0.2500], [0.7500, 0.7500, 0.7500], [0.0000, 0.0000, 0.5000], [0.0000, 0.5000, 0.0000], [0.5000, 0.0000, 0.0000], [0.5000, 0.5000, 0.5000]],
  "magnetic_moment_mub_per_cell": 0.023,
  "e_tot_ev_per_atom": -3.658,
  "n_ef_per_ev_cell": 20.99,
  "ef_kj_per_mol_fu": -38
}



{
  "formula": "LiScSn",
  "functional": "GGA-PBE",
  "state": "relaxed",
  "lattice": [[3.8741, 0.0000, 0.0000], [0.0000, 3.8741, 0.0000], [0.0000, 0.0000, 8.7844]],
  "species": ["Li", "Li", "Sc", "Sc", "Sn", "Sn"],
  "frac_coords": [[0.0000, 0.0000, 0.0000], [0.5000, 0.5000, 0.5000], [0.0000, 0.0000, 0.3294], [0.5000, 0.5000, 0.8294], [0.0000, 0.0000, 0.6693], [0.5000, 0.5000, 0.1693]],
  "magnetic_moment_mub_per_cell": 0.007,
  "e_tot_ev_per_atom": -4.335,
  "n_ef_per_ev_cell": 5.22,
  "ef_kj_per_mol_fu": -73
}